Ce6PuMnIn2 | GGA-PBE | relaxed

The structure in CIF format:
```
data_Ce6PuMnIn2
_cell_length_a 7.2046
_cell_length_b 7.2046
_cell_length_c 7.2048
_cell_angle_alpha 119.92
_cell_angle_beta 119.92
_cell_angle_gamma 90.06
_symmetry_space_group_name_H-M 'P 1'
_symmetry_Int_Tables_number 1
loop_
_symmetry_equiv_pos_as_xyz
'x,y,z'
loop_
_atom_site_label
_atom_site_fract_x
_atom_site_fract_y
_atom_site_fract_z
Ce1 0.2427 0.2427 0.4855
Ce2 0.2432 0.7568 0.0000
Ce3 0.2435 0.2435 0.0002
Ce4 0.7565 0.7565 0.9998
Ce5 0.7568 0.2432 0.0000
Ce6 0.7573 0.7573 0.5145
Pu1 0.0000 0.0000 0.0000
Mn1 0.5000 0.5000 0.0000
In1 0.2499 0.7501 0.5000
In2 0.7501 0.2499 0.5000
```

## Properties
- Density of states at the Fermi level: 1.354 states/eV per atom
- SG: C2/m (12)
- Calculated formation energy: -217 meV/atom


CeMnIn2Se6 | GGA-PBE | relaxed

The structure in CIF format:
```
data_CeMnIn2Se6
_cell_length_a 9.0130
_cell_length_b 9.0130
_cell_length_c 7.1346
_cell_angle_alpha 98.13
_cell_angle_beta 98.13
_cell_angle_gamma 86.25
_symmetry_space_group_name_H-M 'P 1'
_symmetry_Int_Tables_number 1
loop_
_symmetry_equiv_pos_as_xyz
'x,y,z'
loop_
_atom_site_label
_atom_site_fract_x
_atom_site_fract_y
_atom_site_fract_z
Ce1 0.1020 0.8980 0.7500
Ce2 0.8980 0.1020 0.2500
Mn1 0.2577 0.7423 0.2500
Mn2 0.7423 0.2577 0.7500
In1 0.2436 0.4095 0.7116
In2 0.4095 0.2436 0.2116
In3 0.5905 0.7564 0.7884
In4 0.7564 0.5905 0.2884
Se1 0.0259 0.2028 0.6417
Se2 0.1213 0.6304 0.9246
Se3 0.2028 0.0259 0.1417
Se4 0.2600 0.4728 0.3683
Se5 0.3696 0.8787 0.5754
Se6 0.4728 0.2600 0.8683
Se7 0.5272 0.7400 0.1317
Se8 0.6304 0.1213 0.4246
Se9 0.7400 0.5272 0.6317
Se10 0.7972 0.9741 0.8583
Se11 0.8787 0.3696 0.0754
Se12 0.9741 0.7972 0.3583
```

## Properties
- Density of states at the Fermi level: 0.463 states/eV per atom
- SG: C2/c (15)
- Formation energy from raw total energies: -762 meV/atom


CeYMnIn | GGA-PBE | relaxed

The structure in CIF format:
```
data_CeYMnIn
_cell_length_a 5.2451
_cell_length_b 5.2451
_cell_length_c 5.2451
_cell_angle_alpha 60.00
_cell_angle_beta 60.00
_cell_angle_gamma 60.00
_symmetry_space_group_name_H-M 'P 1'
_symmetry_Int_Tables_number 1
loop_
_symmetry_equiv_pos_as_xyz
'x,y,z'
loop_
_atom_site_label
_atom_site_fract_x
_atom_site_fract_y
_atom_site_fract_z
Ce1 0.0000 0.0000 0.0000
Y1 0.5000 0.5000 0.5000
Mn1 0.2500 0.2500 0.2500
In1 0.7500 0.7500 0.7500
```

## Properties
- Density of states at the Fermi level: 1.918 states/eV per atom
- SG: F-43m (216)
- Calculated formation energy: -39 meV/atom


Ce6In2Mo | GGA-PBE | relaxed

The structure in CIF format:
```
data_Ce6In2Mo
_cell_length_a 6.9825
_cell_length_b 6.9825
_cell_length_c 6.9670
_cell_angle_alpha 119.89
_cell_angle_beta 119.89
_cell_angle_gamma 59.89
_symmetry_space_group_name_H-M 'P 1'
_symmetry_Int_Tables_number 1
loop_
_symmetry_equiv_pos_as_xyz
'x,y,z'
loop_
_atom_site_label
_atom_site_fract_x
_atom_site_fract_y
_atom_site_fract_z
Ce1 0.2266 0.7724 0.7733
Ce2 0.2276 0.7734 0.2267
Ce3 0.2292 0.2292 0.2302
Ce4 0.7708 0.7708 0.7698
Ce5 0.7724 0.2266 0.7733
Ce6 0.7734 0.2276 0.2267
In1 0.2496 0.2496 0.7505
In2 0.7504 0.7504 0.2495
Mo1 0.5000 0.5000 0.5000
```

## Properties
- Density of states at the Fermi level: 2.032 states/eV per atom
- SG: C2/m (12)
- Calculated formation energy: -60 meV/atom


CeInMo | GGA-PBE | relaxed

The structure in CIF format:
```
data_CeInMo
_cell_length_a 6.4460
_cell_length_b 6.4460
_cell_length_c 5.0986
_cell_angle_alpha 97.98
_cell_angle_beta 97.98
_cell_angle_gamma 43.39
_symmetry_space_group_name_H-M 'P 1'
_symmetry_Int_Tables_number 1
loop_
_symmetry_equiv_pos_as_xyz
'x,y,z'
loop_
_atom_site_label
_atom_site_fract_x
_atom_site_fract_y
_atom_site_fract_z
Ce1 0.1328 0.1328 0.3033
Ce2 0.8672 0.8672 0.6967
In1 0.4256 0.4256 0.2282
In2 0.5744 0.5744 0.7718
Mo1 0.2064 0.2064 0.8848
Mo2 0.7936 0.7936 0.1152
```

## Properties
- Density of states at the Fermi level: 1.409 states/eV per atom
- SG: C2/m (12)
- Calculated formation energy: -24 meV/atom


CeInN | GGA-PBE | relaxed

The structure in CIF format:
```
data_CeInN
_cell_length_a 3.8070
_cell_length_b 3.8070
_cell_length_c 5.6564
_cell_angle_alpha 90.00
_cell_angle_beta 90.00
_cell_angle_gamma 120.00
_symmetry_space_group_name_H-M 'P 1'
_symmetry_Int_Tables_number 1
loop_
_symmetry_equiv_pos_as_xyz
'x,y,z'
loop_
_atom_site_label
_atom_site_fract_x
_atom_site_fract_y
_atom_site_fract_z
Ce1 0.0000 0.0000 0.0000
In1 0.6667 0.3333 0.5080
N1 0.3333 0.6667 0.0633
```

## Properties
- Density of states at the Fermi level: 1.185 states/eV per atom
- SG: P3m1 (156)
- Formation energy from raw total energies: -608 meV/atom


CeInN | GGA-PBE | relaxed

The structure in CIF format:
```
data_CeInN
_cell_length_a 3.2265
_cell_length_b 5.9507
_cell_length_c 3.3002
_cell_angle_alpha 90.00
_cell_angle_beta 90.21
_cell_angle_gamma 90.00
_symmetry_space_group_name_H-M 'P 1'
_symmetry_Int_Tables_number 1
loop_
_symmetry_equiv_pos_as_xyz
'x,y,z'
loop_
_atom_site_label
_atom_site_fract_x
_atom_site_fract_y
_atom_site_fract_z
Ce1 0.0000 0.0000 0.0000
In1 0.0000 0.5094 0.5000
N1 0.5000 0.8918 0.5000
```

## Properties
- Density of states at the Fermi level: 1.352 states/eV per atom
- SG: P2 (3)
- Formation energy from raw total energies: -575 meV/atom


CeInN | GGA-PBE | relaxed

The structure in CIF format:
```
data_CeInN
_cell_length_a 6.4413
_cell_length_b 6.4413
_cell_length_c 6.4413
_cell_angle_alpha 149.60
_cell_angle_beta 149.60
_cell_angle_gamma 43.52
_symmetry_space_group_name_H-M 'P 1'
_symmetry_Int_Tables_number 1
loop_
_symmetry_equiv_pos_as_xyz
'x,y,z'
loop_
_atom_site_label
_atom_site_fract_x
_atom_site_fract_y
_atom_site_fract_z
Ce1 0.0000 0.0000 0.0000
In1 0.2791 0.2791 0.0000
N1 0.4748 0.4748 0.0000
```

## Properties
- Density of states at the Fermi level: 1.352 states/eV per atom
- SG: I4mm (107)
- Formation energy from raw total energies: -674 meV/atom


Ce2PaInN5 | GGA-PBE | relaxed

The structure in CIF format:
```
data_Ce2PaInN5
_cell_length_a 7.2402
_cell_length_b 7.2402
_cell_length_c 11.4915
_cell_angle_alpha 90.00
_cell_angle_beta 90.00
_cell_angle_gamma 151.55
_symmetry_space_group_name_H-M 'P 1'
_symmetry_Int_Tables_number 1
loop_
_symmetry_equiv_pos_as_xyz
'x,y,z'
loop_
_atom_site_label
_atom_site_fract_x
_atom_site_fract_y
_atom_site_fract_z
Ce1 0.1246 0.8754 0.5000
Ce2 0.1268 0.8732 0.9698
Ce3 0.8732 0.1268 0.4698
Ce4 0.8754 0.1246 0.0000
Pa1 0.2358 0.7642 0.2507
Pa2 0.7642 0.2358 0.7507
In1 0.4931 0.5069 0.7339
In2 0.5069 0.4931 0.2339
N1 0.0783 0.9217 0.2929
N2 0.2665 0.7335 0.6178
N3 0.2748 0.7252 0.8854
N4 0.3756 0.6244 0.3374
N5 0.4782 0.5218 0.0472
N6 0.5218 0.4782 0.5472
N7 0.6244 0.3756 0.8374
N8 0.7252 0.2748 0.3854
N9 0.7335 0.2665 0.1178
N10 0.9217 0.0783 0.7929
```

## Properties
- Density of states at the Fermi level: 0.807 states/eV per atom
- SG: Cmc2_1 (36)
- Formation energy from raw total energies: -1062 meV/atom


Ce12InPb4N3 | GGA-PBE | relaxed

The structure in CIF format:
```
data_Ce12InPb4N3
_cell_length_a 8.8959
_cell_length_b 8.8959
_cell_length_c 8.8959
_cell_angle_alpha 109.47
_cell_angle_beta 109.47
_cell_angle_gamma 109.47
_symmetry_space_group_name_H-M 'P 1'
_symmetry_Int_Tables_number 1
loop_
_symmetry_equiv_pos_as_xyz
'x,y,z'
loop_
_atom_site_label
_atom_site_fract_x
_atom_site_fract_y
_atom_site_fract_z
Ce1 0.0000 0.2811 0.2811
Ce2 0.0000 0.7189 0.7189
Ce3 0.2500 0.5000 0.7500
Ce4 0.2500 0.7500 0.5000
Ce5 0.2811 0.0000 0.2811
Ce6 0.2811 0.2811 0.0000
Ce7 0.5000 0.2500 0.7500
Ce8 0.5000 0.7500 0.2500
Ce9 0.7189 0.0000 0.7189
Ce10 0.7189 0.7189 0.0000
Ce11 0.7500 0.2500 0.5000
Ce12 0.7500 0.5000 0.2500
In1 0.0000 0.0000 0.0000
Pb1 0.0000 0.0000 0.5000
Pb2 0.0000 0.5000 0.0000
Pb3 0.5000 0.0000 0.0000
Pb4 0.5000 0.5000 0.5000
N1 0.0000 0.5000 0.5000
N2 0.5000 0.0000 0.5000
N3 0.5000 0.5000 0.0000
```

## Properties
- Density of states at the Fermi level: 2.396 states/eV per atom
- SG: Im-3m (229)
- Formation energy from raw total energies: -547 meV/atom


CePm2InN | GGA-PBE | relaxed

The structure in CIF format:
```
data_CePm2InN
_cell_length_a 5.0301
_cell_length_b 5.0301
_cell_length_c 4.8474
_cell_angle_alpha 90.00
_cell_angle_beta 90.00
_cell_angle_gamma 90.00
_symmetry_space_group_name_H-M 'P 1'
_symmetry_Int_Tables_number 1
loop_
_symmetry_equiv_pos_as_xyz
'x,y,z'
loop_
_atom_site_label
_atom_site_fract_x
_atom_site_fract_y
_atom_site_fract_z
Ce1 0.0000 0.0000 0.0000
Pm1 0.0000 0.5000 0.5000
Pm2 0.5000 0.0000 0.5000
In1 0.5000 0.5000 0.0000
N1 0.0000 0.0000 0.5000
```

## Properties
- Density of states at the Fermi level: 1.396 states/eV per atom
- SG: P4/mmm (123)
- Formation energy from raw total energies: -854 meV/atom


CePm2InN4 | GGA-PBE | relaxed

The structure in CIF format:
```
data_CePm2InN4
_cell_length_a 6.1229
_cell_length_b 3.5445
_cell_length_c 6.1924
_cell_angle_alpha 90.00
_cell_angle_beta 110.72
_cell_angle_gamma 90.00
_symmetry_space_group_name_H-M 'P 1'
_symmetry_Int_Tables_number 1
loop_
_symmetry_equiv_pos_as_xyz
'x,y,z'
loop_
_atom_site_label
_atom_site_fract_x
_atom_site_fract_y
_atom_site_fract_z
Ce1 0.0000 0.0000 0.0000
Pm1 0.0000 0.5000 0.5000
Pm2 0.5000 0.0000 0.5000
In1 0.5000 0.5000 0.0000
N1 0.2358 0.5000 0.2480
N2 0.2551 0.0000 0.7628
N3 0.7449 0.0000 0.2372
N4 0.7642 0.5000 0.7520
```

## Properties
- Density of states at the Fermi level: 0.526 states/eV per atom
- SG: P2/m (10)
- Formation energy from raw total energies: -980 meV/atom